(1)
# GGA-PBE TbNdMnIn, optimized geometry
# * formation enthalpy at 0 K: -0.074 eV per atom
data_TbNdMnIn
_space_group_name_H-M_alt 'F -4 3 m'
_space_group_IT_number 216
_space_group_name_Hall 'F -4 2 3'
_cell_length_a 7.492
_cell_length_b 7.492
_cell_length_c 7.492
_cell_angle_alpha 90.00
_cell_angle_beta 90.00
_cell_angle_gamma 90.00
loop_
_atom_site_label
_atom_site_type_symbol
_atom_site_fract_x
_atom_site_fract_y
_atom_site_fract_z
_atom_site_occupancy
Tb1 Tb 0.000 0.000 0.000 1
Nd1 Nd 0.000 0.000 0.500 1
Mn1 Mn 0.250 0.250 0.750 1
In1 In 0.250 0.250 0.250 1

(2)
The following is a GGA-PBE calculation of a geometry-optimized Lu2ZnN structure, from Alexandria via LeMat-Bulk.

Structure (CIF):
```
data_Lu2ZnN
_space_group_name_H-M_alt 'R -3 m'
_space_group_IT_number 166
_space_group_name_Hall '-R 3 2"'
_cell_length_a 3.3894
_cell_length_b 3.3894
_cell_length_c 21.9009
_cell_angle_alpha 90.00
_cell_angle_beta 90.00
_cell_angle_gamma 120.00
loop_
_atom_site_label
_atom_site_type_symbol
_atom_site_fract_x
_atom_site_fract_y
_atom_site_fract_z
_atom_site_occupancy
Lu1 Lu 0.0000 0.0000 0.2276 1
Zn1 Zn 0.0000 0.0000 0.0000 1
N1 N 0.0000 0.0000 0.5000 1
```

(3)
The following is a GGA-PBE calculation of a geometry-optimized Ca6Si2Sn structure, from Alexandria via LeMat-Bulk.

Structure (CIF):
```
data_Ca6Si2Sn
_space_group_name_H-M_alt 'I m m m'
_space_group_IT_number 71
_space_group_name_Hall '-I 2 2'
_cell_length_a 9.810
_cell_length_b 9.989
_cell_length_c 10.806
_cell_angle_alpha 90.00
_cell_angle_beta 90.00
_cell_angle_gamma 90.00
loop_
_atom_site_label
_atom_site_type_symbol
_atom_site_fract_x
_atom_site_fract_y
_atom_site_fract_z
_atom_site_occupancy
Ca1 Ca 0.000 0.203 0.243 1
Ca2 Ca 0.191 0.500 0.172 1
Ca3 Ca 0.221 0.316 0.500 1
Si1 Si 0.000 0.348 0.000 1
Si2 Si 0.000 0.500 0.387 1
Sn1 Sn 0.000 0.000 0.000 1
Sn2 Sn 0.000 0.000 0.500 1
```

(4)
The following is a GGA-PBE calculation of a geometry-optimized Pr3SbN structure, from Alexandria via LeMat-Bulk.

Structure (CIF):
```
data_Pr3SbN
_space_group_name_H-M_alt 'P 1 21/m 1'
_space_group_IT_number 11
_cell_length_a 4.952
_cell_length_b 5.009
_cell_length_c 11.393
_cell_angle_alpha 90.00
_cell_angle_beta 102.48
_cell_angle_gamma 90.00
loop_
_space_group_symop_operation_xyz
'x,y,z'
'-x,-y,-z'
'-x,y+1/2,-z'
'x,-y+1/2,z'
loop_
_atom_site_label
_atom_site_type_symbol
_atom_site_fract_x
_atom_site_fract_y
_atom_site_fract_z
_atom_site_occupancy
Pr1 Pr 0.055 0.250 0.112 1
Pr2 Pr 0.183 0.750 0.369 1
Pr3 Pr 0.433 0.250 0.864 1
Sb1 Sb 0.332 0.750 0.661 1
N1 N 0.064 0.750 0.129 1
```

(5)
# GGA-PBE ThGe3Os3, optimized geometry
# * energy above the most stable polymorph in this dataset: 3.577 eV per formula unit
# * formation enthalpy at 0 K: 0.478 eV per atom
data_ThGe3Os3
_space_group_name_H-M_alt 'P m -3 n'
_space_group_IT_number 223
_space_group_name_Hall '-P 4n 2 3'
_cell_length_a 6.718
_cell_length_b 6.718
_cell_length_c 6.718
_cell_angle_alpha 90.00
_cell_angle_beta 90.00
_cell_angle_gamma 90.00
loop_
_atom_site_label
_atom_site_type_symbol
_atom_site_fract_x
_atom_site_fract_y
_atom_site_fract_z
_atom_site_occupancy
Th1 Th 0.000 0.000 0.000 1
Ge1 Ge 0.000 0.250 0.500 1
Os1 Os 0.000 0.500 0.250 1

(6)
The following is a GGA-PBE calculation of a geometry-optimized InGaSe3 structure, from Alexandria via LeMat-Bulk.

Structure (CIF):
```
data_InGaSe3
_space_group_name_H-M_alt 'P m -3 m'
_space_group_IT_number 221
_space_group_name_Hall '-P 4 2 3'
_cell_length_a 5.065
_cell_length_b 5.065
_cell_length_c 5.065
_cell_angle_alpha 90.00
_cell_angle_beta 90.00
_cell_angle_gamma 90.00
loop_
_atom_site_label
_atom_site_type_symbol
_atom_site_fract_x
_atom_site_fract_y
_atom_site_fract_z
_atom_site_occupancy
In1 In 0.000 0.000 0.000 1
Ga1 Ga 0.500 0.500 0.500 1
Se1 Se 0.000 0.500 0.500 1
```

The calculation returns the following DOS(E_F) values, one per record and in order: 4.65; 1.93; 2.41; 3.03; 5.21; 4.37 states/eV/f.u..
The calculation returns the following DFT total energy values, one per record and in order: -5.40; -5.63; -3.45; -6.29; -7.37; -3.21 eV/atom.